La2MnPtC: relaxed, PBE.

Lattice parameters (Å, degrees): 5.2891 5.2891 3.7996 90.00 90.00 90.00
Space group P4/mmm (No. 123)
Symmetry-distinct sites (fractional):
La 0.0000 0.5000 0.0000 x2
Mn 0.0000 0.0000 0.5000 x1
Pt 0.5000 0.5000 0.5000 x1
C 0.0000 0.0000 0.0000 x1

Calculated values
VASP energy	-7.28	eV/atom
ΔH_f (0 K)	-0.4212	eV per atom